VASP calculation (PBE) on crystalline Ho2MgSc3 at its relaxed geometry.

Computed properties:
- Space-group type: No. 12
- VASP energy: -58.8 eV/cell

```
data_Ho2MgSc3
_chemical_formula_sum 'Ho4 Mg2 Sc6'
_space_group_name_H-M_alt 'P 1'
_space_group_IT_number 1
_space_group_name_Hall 'P 1'
_cell_length_a 5.2537
_cell_length_b 8.3765
_cell_length_c 9.2747
_cell_angle_alpha 123.09
_cell_angle_beta 90.00
_cell_angle_gamma 108.28
loop_
_atom_site_label
_atom_site_type_symbol
_atom_site_fract_x
_atom_site_fract_y
_atom_site_fract_z
Ho1 Ho 0.5410 0.0819 0.8636
Ho2 Ho 0.4590 0.9181 0.1364
Ho3 Ho 0.8077 0.6153 0.1305
Ho4 Ho 0.1923 0.3847 0.8695
Mg1 Mg 0.8818 0.7635 0.8628
Mg2 Mg 0.1182 0.2365 0.1372
Sc1 Sc 0.2894 0.5788 0.6296
Sc2 Sc 0.9433 0.8865 0.5948
Sc3 Sc 0.6343 0.2686 0.6245
Sc4 Sc 0.3657 0.7314 0.3755
Sc5 Sc 0.0567 0.1135 0.4052
Sc6 Sc 0.7106 0.4212 0.3704
```

---

VASP calculation (PBE) on crystalline BaBeAs3 at its relaxed geometry.

Computed properties:
- Space-group type: No. 221
- VASP energy: -11.3 eV/cell

```
data_BaBeAs3
_chemical_formula_sum 'Ba1 Be1 As3'
_space_group_name_H-M_alt 'P 1'
_space_group_IT_number 1
_space_group_name_Hall 'P 1'
_cell_length_a 5.8523
_cell_length_b 5.8523
_cell_length_c 5.8523
_cell_angle_alpha 90.00
_cell_angle_beta 90.00
_cell_angle_gamma 90.00
loop_
_atom_site_label
_atom_site_type_symbol
_atom_site_fract_x
_atom_site_fract_y
_atom_site_fract_z
Be1 Be 0.5000 0.5000 0.5000
As1 As 0.0000 0.5000 0.0000
As2 As 0.0000 0.0000 0.5000
As3 As 0.5000 0.0000 0.0000
Ba1 Ba 0.0000 0.0000 0.0000
```

---

| no. | polymorph energy (0 for the lowest one) (kJ/mol of formula units) |
| --- | --- |
| 1 | 9 |
| 2 | 879 |